Entry from Alexandria: Pu3Ga2Ru4 after structural relaxation (PBE). Values from VASP.

Cell and atoms, written as Quantum ESPRESSO input:
```
&SYSTEM
  ibrav = 0, nat = 18, ntyp = 3
/
ATOMIC_SPECIES
Ru 101.07 Ru.upf
Pu 244.00 Pu.upf
Ga 69.72 Ga.upf
ATOMIC_POSITIONS crystal
Ru 0.3218 0.9728 0.2643
Ru 0.1782 0.7356 0.0272
Ru 0.6782 0.0272 0.7356
Ru 0.8218 0.2643 0.9728
Ru 0.6072 0.4628 0.2843
Ru 0.1072 0.2843 0.4628
Ru 0.8928 0.7157 0.5372
Ru 0.3928 0.5372 0.7157
Pu 0.2500 0.6164 0.3836
Pu 0.3957 0.2594 0.0256
Pu 0.8957 0.0256 0.2594
Pu 0.7500 0.3836 0.6164
Pu 0.6043 0.7406 0.9744
Pu 0.1043 0.9744 0.7406
Ga 0.0523 0.4960 0.8032
Ga 0.9477 0.5040 0.1968
Ga 0.4477 0.1968 0.5040
Ga 0.5523 0.8032 0.4960
CELL_PARAMETERS angstrom
7.7109 0.2733 0.1957
1.0581 6.6382 -1.1076
1.0581 1.0904 6.6410
```

Results
* V: 345.9 Å³ per cell
* energy: -9.741 eV/atom
* ΔE_f: -168.7 meV per atom
* total magnetization: 26.18 μB per cell
* SG: C2/c